The following is a DFT calculation (GGA+U) of an optimized crystal structure of PmCo2B2O7.

```
PmCo2B2O7
1.0
2.4927 1.4392 8.3256
-2.4927 1.4392 8.3256
0.0000 -2.8784 8.3256
Pm Co B O
1 2 2 7
direct
0.0000 0.0000 0.0000
0.4277 0.4277 0.4277
0.5723 0.5723 0.5723
0.2719 0.2719 0.2719
0.7281 0.7281 0.7281
0.0103 0.4553 0.7128
0.2872 0.5447 0.9897
0.4553 0.7128 0.0103
0.5000 0.5000 0.5000
0.5447 0.9897 0.2872
0.7128 0.0103 0.4553
0.9897 0.2872 0.5447
```

* total energy: -7.324 eV per atom
* total magnetic moment: 7.000 Bohr magnetons per cell
* space-group type: No. 155